Arrangement w

A geometry-optimized PaPtS4 structure, computed with PBE-GGA.

Unit cell a=6.416 b=6.252 c=6.343 alpha=90.00 beta=98.89 gamma=90.00
Positions (direct):
Pa (0.000, 0.000, 0.000)
Pa (0.000, 0.500, 0.500)
Pt (0.500, 0.000, 0.500)
Pt (0.500, 0.500, 0.000)
S (0.187, 0.171, 0.369)
S (0.187, 0.329, 0.869)
S (0.311, 0.721, 0.262)
S (0.311, 0.779, 0.762)
S (0.689, 0.221, 0.238)
S (0.689, 0.279, 0.738)
S (0.813, 0.671, 0.131)
S (0.813, 0.829, 0.631)

**Symmetry**: P2_1/c (14)
**Size of the total moment**: 0.00 μB/atom
**Fermi-level density of states**: 3.1 states/eV/f.u.

---

Arrangement x

A geometry-optimized PaPtS4 structure, computed with PBE-GGA.

Unit cell a=7.433 b=7.433 c=5.874 alpha=111.16 beta=111.16 gamma=30.11
Positions (direct):
Pa (0.000, 0.000, 0.000)
Pt (0.500, 0.500, 0.500)
S (0.106, 0.106, 0.476)
S (0.383, 0.383, 0.049)
S (0.617, 0.617, 0.951)
S (0.894, 0.894, 0.524)

**Symmetry**: C2/m (12)
**Size of the total moment**: 0.00 μB/atom
**Fermi-level density of states**: 3.6 states/eV/f.u.

---

Which is most stable, and by how much? arrangement x, by 8.5 kJ/mol of atoms.

---

Arrangement w

A geometry-optimized Pa2PtSe structure, computed with PBE-GGA.

Unit cell a=3.366 b=3.366 c=7.588 alpha=90.00 beta=90.00 gamma=90.00
Positions (direct):
Pa (0.000, 0.000, 0.248)
Pa (0.000, 0.000, 0.752)
Pt (0.500, 0.500, 0.000)
Se (0.500, 0.500, 0.500)

**Symmetry**: P4/mmm (123)
**Size of the total moment**: 0.00 μB/atom
**Fermi-level density of states**: 7.0 states/eV/f.u.

---

Arrangement x

A geometry-optimized Pa2PtSe structure, computed with PBE-GGA.

Unit cell a=8.261 b=8.261 c=8.261 alpha=26.02 beta=26.02 gamma=26.02
Positions (direct):
Pa (0.000, 0.000, 0.000)
Pa (0.174, 0.174, 0.174)
Pt (0.587, 0.587, 0.587)
Se (0.421, 0.421, 0.421)

**Symmetry**: R3m (160)
**Size of the total moment**: 0.12 μB/atom
**Fermi-level density of states**: 7.0 states/eV/f.u.

---

Arrangement y

A geometry-optimized Pa2PtSe structure, computed with PBE-GGA.

Unit cell a=9.921 b=9.921 c=9.921 alpha=19.32 beta=19.32 gamma=19.32
Positions (direct):
Pa (0.092, 0.092, 0.092)
Pa (0.908, 0.908, 0.908)
Pt (0.000, 0.000, 0.000)
Se (0.500, 0.500, 0.500)

**Symmetry**: R-3m (166)
**Size of the total moment**: 0.00 μB/atom
**Fermi-level density of states**: 3.6 states/eV/f.u.

---

Which is most stable, and by how much? arrangement w, by 0.7 kJ/mol of atoms.

---

Arrangement w

A geometry-optimized PaSiPt3 structure, computed with PBE-GGA.

Unit cell a=6.242 b=6.242 c=6.242 alpha=142.47 beta=142.47 gamma=54.12
Positions (direct):
Pa (0.000, 0.000, 0.000)
Si (0.366, 0.366, 0.000)
Pt (0.248, 0.748, 0.500)
Pt (0.574, 0.574, 0.000)
Pt (0.748, 0.248, 0.500)

**Symmetry**: I4mm (107)
**Size of the total moment**: 0.00 μB/atom
**Fermi-level density of states**: 3.6 states/eV/f.u.

---

Arrangement x

A geometry-optimized PaSiPt3 structure, computed with PBE-GGA.

Unit cell a=5.630 b=6.398 c=5.107 alpha=90.00 beta=90.00 gamma=90.00
Positions (direct):
Pa (0.000, 0.182, 0.000)
Pa (0.500, 0.818, 0.500)
Si (0.000, 0.557, 0.378)
Si (0.500, 0.443, 0.878)
Pt (0.000, 0.906, 0.518)
Pt (0.241, 0.722, 0.016)
Pt (0.259, 0.278, 0.516)
Pt (0.500, 0.094, 0.018)
Pt (0.741, 0.278, 0.516)
Pt (0.759, 0.722, 0.016)

**Symmetry**: Pmn2_1 (31)
**Size of the total moment**: 0.00 μB/atom
**Fermi-level density of states**: 3.7 states/eV/f.u.

---

Which is most stable, and by how much? arrangement w, by 9.5 kJ/mol of atoms.